# Li2Pr3In4 PBE relaxed
# - N(E_F) (states/eV/f.u.) = 4.0
# - V (Å³/cell) = 239.0
# - calculated formation energy (meV/atom) = -432
# - DFT total energy (eV/atom) = -3.6674
# - total moment (μB per cell) = 0.00
data_Li2Pr3In4
_cell_length_a 5.0090
_cell_length_b 6.1850
_cell_length_c 9.5169
_cell_angle_alpha 115.01
_cell_angle_beta 90.00
_cell_angle_gamma 113.89
_symmetry_space_group_name_H-M 'P 1'
_symmetry_Int_Tables_number 1
loop_
_symmetry_equiv_pos_as_xyz
'x,y,z'
loop_
_atom_site_label
_atom_site_fract_x
_atom_site_fract_y
_atom_site_fract_z
Li1 0.6024 0.2048 0.2725
Li2 0.3976 0.7952 0.7275
Pr1 0.6682 0.3365 0.6574
Pr2 0.3318 0.6635 0.3426
Pr3 0.0000 0.0000 0.0000
In1 0.2658 0.5315 0.9216
In2 0.0432 0.0864 0.3723
In3 0.9568 0.9136 0.6277
In4 0.7342 0.4685 0.0784

=====

# LiPr2In9 PBE relaxed
# - N(E_F) (states/eV/f.u.) = 5.3
# - V (Å³/cell) = 306.7
# - calculated formation energy (meV/atom) = -348
# - DFT total energy (eV/atom) = -3.3574
# - total moment (μB per cell) = 0.00
data_LiPr2In9
_cell_length_a 4.7052
_cell_length_b 4.7052
_cell_length_c 13.8558
_cell_angle_alpha 90.00
_cell_angle_beta 90.00
_cell_angle_gamma 90.00
_symmetry_space_group_name_H-M 'P 1'
_symmetry_Int_Tables_number 1
loop_
_symmetry_equiv_pos_as_xyz
'x,y,z'
loop_
_atom_site_label
_atom_site_fract_x
_atom_site_fract_y
_atom_site_fract_z
In1 0.5000 0.0000 0.5000
In2 0.5000 0.5000 0.3343
In3 0.5000 0.5000 0.0000
In4 0.0000 0.5000 0.5000
In5 0.0000 0.5000 0.8488
In6 0.5000 0.0000 0.1512
In7 0.0000 0.5000 0.1512
In8 0.5000 0.0000 0.8488
In9 0.5000 0.5000 0.6657
Li1 0.0000 0.0000 0.0000
Pr1 0.0000 0.0000 0.3260
Pr2 0.0000 0.0000 0.6740

=====

# LiPr6In PBE relaxed
# - N(E_F) (states/eV/f.u.) = 9.5
# - V (Å³/cell) = 261.3
# - calculated formation energy (meV/atom) = -112
# - DFT total energy (eV/atom) = -4.2784
# - total moment (μB per cell) = 0.00
data_LiPr6In
_cell_length_a 5.2562
_cell_length_b 5.2562
_cell_length_c 10.1623
_cell_angle_alpha 75.01
_cell_angle_beta 75.01
_cell_angle_gamma 90.00
_symmetry_space_group_name_H-M 'P 1'
_symmetry_Int_Tables_number 1
loop_
_symmetry_equiv_pos_as_xyz
'x,y,z'
loop_
_atom_site_label
_atom_site_fract_x
_atom_site_fract_y
_atom_site_fract_z
Pr1 0.2490 0.2491 0.5019
Pr2 0.1121 0.6121 0.7758
Pr3 0.8879 0.3879 0.2242
Pr4 0.3879 0.8879 0.2242
Pr5 0.6121 0.1121 0.7758
Pr6 0.7510 0.7509 0.4981
In1 0.5000 0.5000 0.0000
Li1 0.0000 0.0000 0.0000

=====

# Li4PrIn15 PBE relaxed
# - N(E_F) (states/eV/f.u.) = 6.6
# - V (Å³/cell) = 487.9
# - calculated formation energy (meV/atom) = -187
# - DFT total energy (eV/atom) = -2.8629
# - total moment (μB per cell) = 0.00
data_Li4PrIn15
_cell_length_a 4.5490
_cell_length_b 4.5490
_cell_length_c 23.5780
_cell_angle_alpha 90.00
_cell_angle_beta 90.00
_cell_angle_gamma 90.00
_symmetry_space_group_name_H-M 'P 1'
_symmetry_Int_Tables_number 1
loop_
_symmetry_equiv_pos_as_xyz
'x,y,z'
loop_
_atom_site_label
_atom_site_fract_x
_atom_site_fract_y
_atom_site_fract_z
In1 0.5000 0.0000 0.1075
In2 0.5000 0.5000 0.0000
In3 0.0000 0.5000 0.3028
In4 0.5000 0.0000 0.5000
In5 0.5000 0.5000 0.5976
In6 0.0000 0.5000 0.5000
In7 0.5000 0.5000 0.4024
In8 0.5000 0.0000 0.3028
In9 0.0000 0.5000 0.6972
In10 0.5000 0.0000 0.6972
In11 0.5000 0.0000 0.8925
In12 0.5000 0.5000 0.2026
In13 0.0000 0.5000 0.1075
In14 0.5000 0.5000 0.7974
In15 0.0000 0.5000 0.8925
Li1 0.0000 0.0000 0.5970
Li2 0.0000 0.0000 0.7996
Li3 0.0000 0.0000 0.2004
Li4 0.0000 0.0000 0.4030
Pr1 0.0000 0.0000 0.0000

=====

# Li4PrIn4 PBE relaxed
# - N(E_F) (states/eV/f.u.) = 3.0
# - V (Å³/cell) = 399.3
# - calculated formation energy (meV/atom) = -258
# - DFT total energy (eV/atom) = -2.8571
# - total moment (μB per cell) = 0.00
data_Li4PrIn4
_cell_length_a 6.3266
_cell_length_b 6.3266
_cell_length_c 9.9772
_cell_angle_alpha 90.00
_cell_angle_beta 90.00
_cell_angle_gamma 90.00
_symmetry_space_group_name_H-M 'P 1'
_symmetry_Int_Tables_number 1
loop_
_symmetry_equiv_pos_as_xyz
'x,y,z'
loop_
_atom_site_label
_atom_site_fract_x
_atom_site_fract_y
_atom_site_fract_z
Li1 0.2823 0.0000 0.5750
Li2 0.0000 0.2823 0.4250
Li3 0.7177 0.0000 0.5750
Li4 0.7823 0.5000 0.9250
Li5 0.5000 0.2177 0.0750
Li6 0.2177 0.5000 0.9250
Li7 0.0000 0.7177 0.4250
Li8 0.5000 0.7823 0.0750
In1 0.7328 0.0000 0.2880
In2 0.0000 0.2672 0.7120
In3 0.0000 0.7328 0.7120
In4 0.2328 0.5000 0.2120
In5 0.2672 0.0000 0.2880
In6 0.7672 0.5000 0.2120
In7 0.5000 0.2328 0.7880
In8 0.5000 0.7672 0.7880
Pr1 0.0000 0.0000 0.0000
Pr2 0.5000 0.5000 0.5000

=====

# LiPr3In4 PBE relaxed
# - N(E_F) (states/eV/f.u.) = 5.1
# - V (Å³/cell) = 216.3
# - calculated formation energy (meV/atom) = -444
# - DFT total energy (eV/atom) = -3.8446
# - total moment (μB per cell) = 0.00
data_LiPr3In4
_cell_length_a 3.6136
_cell_length_b 3.6136
_cell_length_c 16.5652
_cell_angle_alpha 90.00
_cell_angle_beta 90.00
_cell_angle_gamma 90.00
_symmetry_space_group_name_H-M 'P 1'
_symmetry_Int_Tables_number 1
loop_
_symmetry_equiv_pos_as_xyz
'x,y,z'
loop_
_atom_site_label
_atom_site_fract_x
_atom_site_fract_y
_atom_site_fract_z
Li1 0.5000 0.5000 0.0000
In1 0.0000 0.0000 0.0930
In2 0.0000 0.0000 0.6361
In3 0.0000 0.0000 0.9070
In4 0.0000 0.0000 0.3639
Pr1 0.5000 0.5000 0.7704
Pr2 0.5000 0.5000 0.5000
Pr3 0.5000 0.5000 0.2296

=====

# LiPr5In4 PBE relaxed
# - N(E_F) (states/eV/f.u.) = 5.1
# - V (Å³/cell) = 294.3
# - calculated formation energy (meV/atom) = -388
# - DFT total energy (eV/atom) = -4.0647
# - total moment (μB per cell) = 0.00
data_LiPr5In4
_cell_length_a 3.7624
_cell_length_b 3.7624
_cell_length_c 20.7870
_cell_angle_alpha 90.00
_cell_angle_beta 90.00
_cell_angle_gamma 90.00
_symmetry_space_group_name_H-M 'P 1'
_symmetry_Int_Tables_number 1
loop_
_symmetry_equiv_pos_as_xyz
'x,y,z'
loop_
_atom_site_label
_atom_site_fract_x
_atom_site_fract_y
_atom_site_fract_z
Pr1 0.5000 0.5000 0.5000
Pr2 0.5000 0.5000 0.9024
Pr3 0.5000 0.5000 0.0976
Pr4 0.5000 0.5000 0.2970
Pr5 0.5000 0.5000 0.7030
In1 0.0000 0.0000 0.3980
In2 0.0000 0.0000 0.1929
In3 0.0000 0.0000 0.8071
In4 0.0000 0.0000 0.6020
Li1 0.0000 0.0000 0.0000

=====

# LiPr2In8 PBE relaxed
# - N(E_F) (states/eV/f.u.) = 3.2
# - V (Å³/cell) = 282.7
# - calculated formation energy (meV/atom) = -379
# - DFT total energy (eV/atom) = -3.4133
# - total moment (μB per cell) = 0.00
data_LiPr2In8
_cell_length_a 4.7584
_cell_length_b 4.7584
_cell_length_c 12.4835
_cell_angle_alpha 90.00
_cell_angle_beta 90.00
_cell_angle_gamma 90.00
_symmetry_space_group_name_H-M 'P 1'
_symmetry_Int_Tables_number 1
loop_
_symmetry_equiv_pos_as_xyz
'x,y,z'
loop_
_atom_site_label
_atom_site_fract_x
_atom_site_fract_y
_atom_site_fract_z
In1 0.5000 0.0000 0.8755
In2 0.5000 0.5000 0.6907
In3 0.0000 0.5000 0.8755
In4 0.5000 0.5000 0.3093
In5 0.0000 0.5000 0.5000
In6 0.5000 0.0000 0.5000
In7 0.0000 0.5000 0.1245
In8 0.5000 0.0000 0.1245
Li1 0.0000 0.0000 0.0000
Pr1 0.0000 0.0000 0.3110
Pr2 0.0000 0.0000 0.6890

=====

# LiPrIn6 PBE relaxed
# - N(E_F) (states/eV/f.u.) = 3.0
# - V (Å³/cell) = 204.0
# - calculated formation energy (meV/atom) = -261
# - DFT total energy (eV/atom) = -3.1512
# - total moment (μB per cell) = 0.00
data_LiPrIn6
_cell_length_a 4.7164
_cell_length_b 6.5769
_cell_length_c 6.5769
_cell_angle_alpha 89.98
_cell_angle_beta 90.00
_cell_angle_gamma 90.00
_symmetry_space_group_name_H-M 'P 1'
_symmetry_Int_Tables_number 1
loop_
_symmetry_equiv_pos_as_xyz
'x,y,z'
loop_
_atom_site_label
_atom_site_fract_x
_atom_site_fract_y
_atom_site_fract_z
In1 0.0000 0.7427 0.7427
In2 0.5000 0.0000 0.5000
In3 0.5000 0.5000 0.0000
In4 0.0000 0.7427 0.2573
In5 0.0000 0.2573 0.7427
In6 0.0000 0.2573 0.2573
Pr1 0.5000 0.0000 0.0000
Li1 0.5000 0.5000 0.5000

=====

# Li2PrIn2 PBE relaxed
# - N(E_F) (states/eV/f.u.) = 2.1
# - V (Å³/cell) = 238.7
# - calculated formation energy (meV/atom) = -273
# - DFT total energy (eV/atom) = -3.0898
# - total moment (μB per cell) = 0.00
data_Li2PrIn2
_cell_length_a 4.6686
_cell_length_b 4.6686
_cell_length_c 10.9525
_cell_angle_alpha 90.00
_cell_angle_beta 90.00
_cell_angle_gamma 90.00
_symmetry_space_group_name_H-M 'P 1'
_symmetry_Int_Tables_number 1
loop_
_symmetry_equiv_pos_as_xyz
'x,y,z'
loop_
_atom_site_label
_atom_site_fract_x
_atom_site_fract_y
_atom_site_fract_z
In1 0.2504 0.2504 0.1237
In2 0.7496 0.7496 0.8763
In3 0.7496 0.7496 0.6237
In4 0.2504 0.2504 0.3763
Li1 0.7504 0.2496 0.5000
Li2 0.2496 0.7504 0.0000
Li3 0.2496 0.7504 0.5000
Li4 0.7504 0.2496 0.0000
Pr1 0.2499 0.2499 0.7500
Pr2 0.7501 0.7501 0.2500

=====

Which of these has the lowest V? LiPrIn6

=====

Which value of calculated formation energy does entry 7 give? -388 meV/atom

=====

V of number 7 (LiPr5In4)? 294.3 Å³/cell

=====

Among the records above, which one has the lowest DFT total energy? LiPr6In